(1)
ZrZn4Pd15: optimized geometry, PBE-GGA.

The structure belongs to space group P4/mmm (No. 123); the cell edges are 3.9692, 3.9692 and 19.4258 Å and the angles 90.00°, 90.00° and 90.00°. The inequivalent atoms are Zr at (0.0000, 0.0000, 0.0000), Zn at (0.0000, 0.0000, 0.2063), Zn at (0.0000, 0.0000, 0.4011), Pd at (0.0000, 0.5000, 0.1043), Pd at (0.0000, 0.5000, 0.3036), Pd at (0.0000, 0.5000, 0.5000), Pd at (0.5000, 0.5000, 0.0000), Pd at (0.5000, 0.5000, 0.2037) and Pd at (0.5000, 0.5000, 0.4023).

The volume is 306 Å³/cell. As for the magnetic moment: 0.00 μB/f.u. As for the formation energy: -0.4089 eV per atom. The value obtained for the theoretical density is 10576 kg/m3.

***

(2)
MgZn2Cl: optimized geometry, PBE-GGA.

The structure belongs to space group Pm (No. 6); the cell edges are 3.7518, 3.4596 and 7.9652 Å and the angles 90.00°, 90.19° and 90.00°. The inequivalent atoms are Mg at (0.0000, 0.0000, 0.0000), Zn at (0.4968, 0.0000, 0.7324), Zn at (0.9962, 0.5000, 0.6732) and Cl at (0.9961, 0.5000, 0.2028).

The volume is 103 Å³/cell. As for the magnetic moment: 0.00 μB/f.u. The value obtained for the polymorph energy (0 for the lowest one) is 0 meV per atom. The energy relative to the elements, uncorrected comes out at -9.10 kcal/mol of atoms. The value obtained for the theoretical density is 3061 kg/m3.

***

(3)
PrSmTeBr: optimized geometry, PBE-GGA.

The structure belongs to space group F-43m (No. 216); the cell edges are 7.5918, 7.5918 and 7.5918 Å and the angles 90.00°, 90.00° and 90.00°. The inequivalent atoms are Pr at (0.0000, 0.0000, 0.0000), Sm at (0.0000, 0.0000, 0.5000), Te at (0.2500, 0.2500, 0.2500) and Br at (0.2500, 0.2500, 0.7500).

The volume is 438 Å³/cell. As for the magnetic moment: 0.00 μB/f.u. The energy relative to the elements, uncorrected comes out at -28.04 kcal/mol of atoms. The value obtained for the theoretical density is 7571 kg/m3.

***

(4)
BaNa2Cd4: optimized geometry, PBE-GGA.

The structure belongs to space group Immm (No. 71); the cell edges are 3.8687, 5.1213 and 21.6591 Å and the angles 90.00°, 90.00° and 90.00°. The inequivalent atoms are Ba at (0.0000, 0.0000, 0.0000), Na at (0.0000, 0.5000, 0.2013), Cd at (0.0000, 0.0000, 0.4231) and Cd at (0.0000, 0.5000, 0.3519).

The volume is 429 Å³/cell. As for the magnetic moment: 0.00 μB/f.u. The value obtained for the polymorph energy (0 for the lowest one) is 59 meV per atom. As for the formation energy: -0.1543 eV per atom. The value obtained for the theoretical density is 4898 kg/m3.

***

(5)
KGa2RhPb: optimized geometry, PBE-GGA.

The structure belongs to space group P4/mmm (No. 123); the cell edges are 4.8976, 4.8976 and 5.4996 Å and the angles 90.00°, 90.00° and 90.00°. The inequivalent atoms are K at (0.0000, 0.0000, 0.0000), Ga at (0.0000, 0.5000, 0.5000), Rh at (0.5000, 0.5000, 0.5000) and Pb at (0.5000, 0.5000, 0.0000).

The volume is 132 Å³/cell. As for the magnetic moment: 0.00 μB/f.u. As for the formation energy: -0.1313 eV per atom. The value obtained for the theoretical density is 6151 kg/m3.

***

(6)
KSe: optimized geometry, PBE-GGA.

The structure belongs to space group Amm2 (No. 38); the cell edges are 5.1398, 10.2853 and 8.3300 Å and the angles 90.00°, 90.00° and 90.00°. The inequivalent atoms are K at (0.0000, 0.0000, 0.0000), K at (0.5000, 0.1889, 0.4639), Se at (0.0000, 0.0000, 0.5702) and Se at (0.0000, 0.2261, 0.7186).

The volume is 440 Å³/cell. As for the magnetic moment: 0.00 μB/f.u. The energy relative to the elements, uncorrected comes out at -18.38 kcal/mol of atoms. The value obtained for the theoretical density is 2671 kg/m3.

***

(7)
Ba12Bi5N2: optimized geometry, PBE-GGA.

The structure belongs to space group C2/m (No. 12); the cell edges are 19.4106, 8.7344 and 11.0244 Å and the angles 90.00°, 106.18° and 90.00°. The inequivalent atoms are Ba at (0.0010, 0.0000, 0.1728), Ba at (0.0014, 0.5000, 0.8373), Ba at (0.1532, 0.2480, 0.0746), Ba at (0.1530, 0.2554, 0.5777), Bi at (0.0000, 0.5000, 0.5000), Bi at (0.1859, 0.0000, 0.8354), Bi at (0.1895, 0.0000, 0.3507) and N at (0.0000, 0.2350, 0.0000).

The volume is 1795 Å³/cell. As for the magnetic moment: 2.79 μB/f.u. The energy relative to the elements, uncorrected comes out at -15.51 kcal/mol of atoms. The value obtained for the theoretical density is 5034 kg/m3.

***

(8)
KZnN2F: optimized geometry, PBE-GGA.

The structure belongs to space group P4/mmm (No. 123); the cell edges are 4.0192, 4.0192 and 4.6738 Å and the angles 90.00°, 90.00° and 90.00°. The inequivalent atoms are K at (0.0000, 0.0000, 0.0000), Zn at (0.5000, 0.5000, 0.5000), N at (0.0000, 0.5000, 0.5000) and F at (0.5000, 0.5000, 0.0000).

The volume is 76 Å³/cell. As for the magnetic moment: 3.50 μB/f.u. The value obtained for the polymorph energy (0 for the lowest one) is 0 meV per atom. The energy relative to the elements, uncorrected comes out at 5.91 kcal/mol of atoms. The value obtained for the theoretical density is 3332 kg/m3.

***

(9)
Er5Tl: optimized geometry, PBE-GGA.

The structure belongs to space group C2/m (No. 12); the cell edges are 11.2116, 4.9105 and 6.8549 Å and the angles 90.00°, 112.00° and 90.00°. The inequivalent atoms are Er at (0.0000, 0.0000, 0.0000), Er at (0.1524, 0.5000, 0.8194), Er at (0.1875, 0.5000, 0.3287) and Tl at (0.0000, 0.0000, 0.5000).

The volume is 350 Å³/cell. As for the magnetic moment: 0.00 μB/f.u. The value obtained for the polymorph energy (0 for the lowest one) is 43 meV per atom. As for the formation energy: -0.0667 eV per atom. The value obtained for the theoretical density is 9877 kg/m3.

***

(10)
Na2DySe2O6: optimized geometry, PBE-GGA.

The structure belongs to space group C2/m (No. 12); the cell edges are 8.8240, 5.8999 and 6.9008 Å and the angles 90.00°, 115.04° and 90.00°. The inequivalent atoms are Na at (0.2031, 0.0000, 0.1172), Dy at (0.0000, 0.0000, 0.5000), Se at (0.0868, 0.5000, 0.2440), O at (0.0492, 0.2629, 0.7693) and O at (0.2365, 0.5000, 0.5051).

The volume is 326 Å³/cell. As for the magnetic moment: 0.00 μB/f.u. The energy relative to the elements, uncorrected comes out at -35.44 kcal/mol of atoms. The value obtained for the theoretical density is 4718 kg/m3.

***

(11)
HgIrRh3: optimized geometry, PBE-GGA.

The structure belongs to space group Pm-3m (No. 221); the cell edges are 4.7462, 4.7462 and 4.7462 Å and the angles 90.00°, 90.00° and 90.00°. The inequivalent atoms are Hg at (0.0000, 0.0000, 0.0000), Ir at (0.5000, 0.5000, 0.5000) and Rh at (0.0000, 0.5000, 0.5000).

The volume is 107 Å³/cell. As for the magnetic moment: 0.00 μB/f.u. The value obtained for the polymorph energy (0 for the lowest one) is 0 meV per atom. As for the formation energy: 1.1855 eV per atom. The value obtained for the theoretical density is 10896 kg/m3.

***

(12)
LiYAs3: optimized geometry, PBE-GGA.

The structure belongs to space group Pm-3m (No. 221); the cell edges are 5.4368, 5.4368 and 5.4368 Å and the angles 90.00°, 90.00° and 90.00°. The inequivalent atoms are Li at (0.0000, 0.0000, 0.0000), Y at (0.5000, 0.5000, 0.5000) and As at (0.0000, 0.5000, 0.5000).

The volume is 161 Å³/cell. As for the magnetic moment: 0.00 μB/f.u. The value obtained for the polymorph energy (0 for the lowest one) is 355 meV per atom. As for the formation energy: 0.1308 eV per atom. The value obtained for the theoretical density is 3313 kg/m3.